The following is a GGA-PBE calculation of a relaxed structure of CsUTeCl2, from the Alexandria database.

Results
The energy is -5.22 eV per atom. The formation energy from raw total energies comes out at -1.429 eV/atom. Its crystal system is orthorhombic. Its symmetry is Cmcm (63).

Lattice parameters (Å, degrees): 9.720 9.720 8.824 90.00 90.00 152.93
Element x y z (fractional)
Cs  0.213  0.787  0.750
Cs  0.787  0.213  0.250
U  0.500  0.500  0.000
U  0.500  0.500  0.500
Te  0.001  0.999  0.750
Te  0.999  0.001  0.250
Cl  0.357  0.643  0.503
Cl  0.357  0.643  0.997
Cl  0.643  0.357  0.003
Cl  0.643  0.357  0.497